No. 1
Here is an optimized crystal structure of NdY6Th4 from Alexandria. Energies are from PBE.

Results
DFT total energy: -143.19 eV/cell
Crystal system: orthorhombic

Geometry as POSCAR:
```
NdY6Th4
1.0
5.767 0.000 0.000
-2.883 4.826 0.000
0.000 0.000 26.101
Y Th Nd
12 8 2
Direct
0.532 0.065 0.750
0.861 0.722 0.680
0.812 0.625 0.399
0.188 0.375 0.899
0.500 0.000 0.000
0.812 0.625 0.101
0.861 0.722 0.820
0.139 0.278 0.320
0.139 0.278 0.180
0.468 0.935 0.250
0.500 0.000 0.500
0.188 0.375 0.601
0.471 0.941 0.377
0.156 0.313 0.046
0.471 0.941 0.123
0.529 0.059 0.623
0.844 0.687 0.546
0.156 0.313 0.454
0.529 0.059 0.877
0.844 0.687 0.954
0.195 0.389 0.750
0.805 0.611 0.250
```



No. 2
Here is an optimized crystal structure of Nd2YTh from Alexandria. Energies are from PBE.

Results
DFT total energy: -23.31 eV/cell
E above lowest polymorph: 0 meV per atom
Crystal system: trigonal

Geometry as POSCAR:
```
Nd2YTh
1.0
-3.545 0.569 0.622
-2.259 -2.833 0.390
0.092 -0.779 11.917
Y Nd Th
1 2 1
Direct
0.500 0.500 0.499
0.251 0.251 0.246
0.082 0.082 0.755
0.667 0.667 0.000
```



No. 3
Here is an optimized crystal structure of Nd3Y2Th4 from Alexandria. Energies are from PBE.

Results
DFT total energy: -56.30 eV/cell
Crystal system: triclinic

Geometry as POSCAR:
```
Nd3Y2Th4
1.0
6.200 -0.318 -0.754
-3.319 4.212 -3.199
-1.661 -0.733 12.854
Nd Th Y
3 4 2
Direct
0.556 0.111 0.669
0.000 0.000 0.000
0.444 0.889 0.331
0.895 0.792 0.669
0.664 0.334 0.000
0.105 0.208 0.331
0.336 0.666 0.000
0.227 0.452 0.669
0.773 0.548 0.331
```



No. 4
Here is an optimized crystal structure of Nd11Y9Th4 from Alexandria. Energies are from PBE.

Results
DFT total energy: -137.81 eV/cell
Crystal system: orthorhombic

Geometry as POSCAR:
```
Nd11Y9Th4
1.0
-0.680 3.104 -1.938
-14.255 -5.166 -3.271
0.509 8.291 13.100
Y Nd Th
9 11 4
Direct
0.500 0.162 0.635
0.500 0.788 0.933
0.500 0.365 0.838
0.500 0.212 0.067
0.500 0.838 0.365
0.500 0.067 0.212
0.500 0.933 0.788
0.500 0.500 0.500
0.500 0.635 0.162
0.000 0.367 0.633
0.000 0.157 0.843
0.000 0.633 0.367
0.000 0.293 0.293
0.000 0.048 0.411
0.000 0.411 0.048
0.000 0.952 0.589
0.000 0.000 0.000
0.000 0.589 0.952
0.000 0.843 0.157
0.000 0.707 0.707
0.500 0.242 0.446
0.500 0.554 0.758
0.500 0.758 0.554
0.500 0.446 0.242
```



No. 5
Here is an optimized crystal structure of NdY2Th4 from Alexandria. Energies are from PBE.

Results
DFT total energy: -46.77 eV/cell
Crystal system: orthorhombic

Geometry as POSCAR:
```
NdY2Th4
1.0
3.555 0.000 -0.469
0.000 3.564 0.000
0.603 0.000 18.270
Nd Th Y
1 4 2
Direct
0.500 0.000 0.000
0.073 0.500 0.146
0.640 0.000 0.281
0.927 0.500 0.854
0.360 0.000 0.719
0.792 0.500 0.585
0.208 0.500 0.415
```



No. 6
Here is an optimized crystal structure of Nd8Y6Th from Alexandria. Energies are from PBE.

Results
DFT total energy: -82.67 eV/cell
Crystal system: trigonal

Geometry as POSCAR:
```
Nd8Y6Th
1.0
7.918 0.137 3.849
2.465 7.526 3.849
0.185 0.137 8.802
Nd Y Th
8 6 1
Direct
0.757 0.115 0.715
0.885 0.285 0.243
0.578 0.578 0.578
0.243 0.885 0.285
0.115 0.715 0.757
0.715 0.757 0.115
0.422 0.422 0.422
0.285 0.243 0.885
0.905 0.463 0.752
0.095 0.537 0.248
0.537 0.248 0.095
0.248 0.095 0.537
0.463 0.752 0.905
0.752 0.905 0.463
0.000 0.000 0.000
```



No. 7
Here is an optimized crystal structure of Nd12Y7Th from Alexandria. Energies are from PBE.

Results
DFT total energy: -105.73 eV/cell
E above lowest polymorph: 0 meV per atom
Crystal system: trigonal

Geometry as POSCAR:
```
Nd12Y7Th
1.0
0.769 5.442 6.922
7.952 -3.419 1.788
3.765 6.069 -5.207
Nd Y Th
12 7 1
Direct
0.854 0.499 0.378
0.499 0.378 0.854
0.127 0.725 0.265
0.378 0.854 0.499
0.146 0.501 0.622
0.275 0.735 0.873
0.501 0.622 0.146
0.622 0.146 0.501
0.725 0.265 0.127
0.873 0.275 0.735
0.265 0.127 0.725
0.735 0.873 0.275
0.151 0.379 0.059
0.621 0.941 0.849
0.849 0.621 0.941
0.379 0.059 0.151
0.941 0.849 0.621
0.500 0.500 0.500
0.059 0.151 0.379
0.000 0.000 0.000
```



No. 8
Here is an optimized crystal structure of Nd2YTh from Alexandria. Energies are from PBE.

Results
DFT total energy: -23.26 eV/cell
E above lowest polymorph: 12 meV per atom
Crystal system: trigonal

Geometry as POSCAR:
```
Nd2YTh
1.0
3.629 0.000 0.000
1.815 3.143 0.000
1.815 1.048 11.857
Th Nd Y
1 2 1
Direct
0.000 0.000 0.000
0.749 0.749 0.754
0.251 0.251 0.246
0.500 0.500 0.500
```



Copy entry 3 word for word.
Here is an optimized crystal structure of Nd3Y2Th4 from Alexandria. Energies are from PBE.

Results
DFT total energy: -56.30 eV/cell
Crystal system: triclinic

Geometry as POSCAR:
```
Nd3Y2Th4
1.0
6.200 -0.318 -0.754
-3.319 4.212 -3.199
-1.661 -0.733 12.854
Nd Th Y
3 4 2
Direct
0.556 0.111 0.669
0.000 0.000 0.000
0.444 0.889 0.331
0.895 0.792 0.669
0.664 0.334 0.000
0.105 0.208 0.331
0.336 0.666 0.000
0.227 0.452 0.669
0.773 0.548 0.331
```



Please write out number 4 again, unchanged.
Here is an optimized crystal structure of Nd11Y9Th4 from Alexandria. Energies are from PBE.

Results
DFT total energy: -137.81 eV/cell
Crystal system: orthorhombic

Geometry as POSCAR:
```
Nd11Y9Th4
1.0
-0.680 3.104 -1.938
-14.255 -5.166 -3.271
0.509 8.291 13.100
Y Nd Th
9 11 4
Direct
0.500 0.162 0.635
0.500 0.788 0.933
0.500 0.365 0.838
0.500 0.212 0.067
0.500 0.838 0.365
0.500 0.067 0.212
0.500 0.933 0.788
0.500 0.500 0.500
0.500 0.635 0.162
0.000 0.367 0.633
0.000 0.157 0.843
0.000 0.633 0.367
0.000 0.293 0.293
0.000 0.048 0.411
0.000 0.411 0.048
0.000 0.952 0.589
0.000 0.000 0.000
0.000 0.589 0.952
0.000 0.843 0.157
0.000 0.707 0.707
0.500 0.242 0.446
0.500 0.554 0.758
0.500 0.758 0.554
0.500 0.446 0.242
```



Q: Among the records above, which one has the lowest DFT total energy?
A: NdY6Th4